# 1
Material: LiAg2I2Br
Method: DFT, GGA-PBE
State: optimized geometry

Unit cell a=7.4361 b=7.8228 c=7.8458 alpha=119.90 beta=90.00 gamma=90.00
With the nearest neighbours (Å) after each atom.
Sites, in units of the cell vectors:
Ag: 0.1905 0.8354 0.3264  1 Br 2.78, 3 I 2.84-2.86
Ag: 0.1905 0.5090 0.6736  1 Br 2.78, 3 I 2.84-2.86
Ag: 0.6905 0.4910 0.3264  1 Br 2.78, 3 I 2.84-2.86
Ag: 0.6905 0.1646 0.6736  1 Br 2.78, 3 I 2.84-2.86
Li: 0.6613 0.8622 0.0000  2 Br 2.54-2.55, 2 I 2.81
Li: 0.1613 0.1378 0.0000  2 Br 2.54-2.55, 2 I 2.81
I: 0.3064 0.1669 0.6843  1 Li 2.81, 3 Ag 2.84-2.86
I: 0.8064 0.8331 0.3157  1 Li 2.81, 3 Ag 2.84-2.86
I: 0.8064 0.5174 0.6843  1 Li 2.81, 3 Ag 2.84-2.86
I: 0.3064 0.4826 0.3157  1 Li 2.81, 3 Ag 2.84-2.86
Br: 0.3182 0.8490 0.0000  2 Li 2.54-2.55, 2 Ag 2.78
Br: 0.8182 0.1510 0.0000  2 Li 2.54-2.55, 2 Ag 2.78

Total energy   -0.0995 hartree per atom
Energy relative to the elements, uncorrected   -0.643 eV per atom
Total moment   0.0 Bohr magnetons per cell
V   32.97 Å³ per atom

=====

# 2
Material: MnAg3I2Br6
Method: DFT, GGA-PBE
State: optimized geometry

Unit cell a=6.2908 b=7.8631 c=8.1603 alpha=118.80 beta=93.01 gamma=90.00
With the nearest neighbours (Å) after each atom.
Sites, in units of the cell vectors:
Ag: 0.0000 0.5000 0.0000  2 I 2.80, 4 Br 3.00
Ag: 0.5000 0.5000 0.5000  2 I 2.86, 4 Br 2.90-2.94
Ag: 0.5000 0.0000 0.5000  2 I 2.86, 4 Br 2.90-2.94
Br: 0.7276 0.8664 0.7327  1 Mn 2.46
Br: 0.2732 0.1504 0.8463  1 Mn 2.50
Br: 0.7268 0.8496 0.1537  1 Mn 2.50
Br: 0.2724 0.1336 0.2673  1 Mn 2.46
Br: 0.7268 0.3042 0.1537  1 Mn 2.50
Br: 0.2732 0.6958 0.8463  1 Mn 2.50
Mn: 0.5000 0.0000 0.0000  6 Br 2.46-2.50
I: 0.8000 0.3198 0.6397  3 Ag 2.80-2.86
I: 0.2000 0.6802 0.3603  3 Ag 2.80-2.86

Total energy   -0.1065 hartree per atom
Energy relative to the elements, uncorrected   -0.327 eV per atom
Total moment   2.6 Bohr magnetons per cell
V   29.42 Å³ per atom

=====

# 3
Material: MnAgIBr2
Method: DFT, GGA-PBE
State: optimized geometry

Unit cell a=4.4606 b=8.1566 c=12.1560 alpha=121.35 beta=90.00 gamma=90.00
With the nearest neighbours (Å) after each atom.
Sites, in units of the cell vectors:
Br: 0.2500 0.9853 0.6501  1 Mn 2.48, 1 Ag 2.67
Br: 0.2500 0.8897 0.0589  3 Mn 2.63-2.94
Br: 0.7500 0.0147 0.3499  1 Mn 2.48, 1 Ag 2.67
Br: 0.7500 0.1103 0.9411  3 Mn 2.63-2.94
Mn: 0.2500 0.9278 0.8314  3 Br 2.48-2.63
Mn: 0.7500 0.0722 0.1686  3 Br 2.48-2.63
Ag: 0.7500 0.3931 0.5190  1 Br 2.67, 2 I 2.89
Ag: 0.2500 0.6069 0.4810  1 Br 2.67, 2 I 2.89
I: 0.7500 0.4769 0.3046  1 Mn 2.82, 3 Ag 2.89-3.02
I: 0.2500 0.5231 0.6954  1 Mn 2.82, 3 Ag 2.89-3.02

Total energy   -0.1425 hartree per atom
Energy relative to the elements, uncorrected   -0.494 eV per atom
Total moment   10.0 Bohr magnetons per cell
V   37.77 Å³ per atom

=====

> total moment of number 1 (LiAg2I2Br)?

0.0 Bohr magnetons per cell

=====

Copy entry 1 word for word.
Material: LiAg2I2Br
Method: DFT, GGA-PBE
State: optimized geometry

Unit cell a=7.4361 b=7.8228 c=7.8458 alpha=119.90 beta=90.00 gamma=90.00
With the nearest neighbours (Å) after each atom.
Sites, in units of the cell vectors:
Ag: 0.1905 0.8354 0.3264  1 Br 2.78, 3 I 2.84-2.86
Ag: 0.1905 0.5090 0.6736  1 Br 2.78, 3 I 2.84-2.86
Ag: 0.6905 0.4910 0.3264  1 Br 2.78, 3 I 2.84-2.86
Ag: 0.6905 0.1646 0.6736  1 Br 2.78, 3 I 2.84-2.86
Li: 0.6613 0.8622 0.0000  2 Br 2.54-2.55, 2 I 2.81
Li: 0.1613 0.1378 0.0000  2 Br 2.54-2.55, 2 I 2.81
I: 0.3064 0.1669 0.6843  1 Li 2.81, 3 Ag 2.84-2.86
I: 0.8064 0.8331 0.3157  1 Li 2.81, 3 Ag 2.84-2.86
I: 0.8064 0.5174 0.6843  1 Li 2.81, 3 Ag 2.84-2.86
I: 0.3064 0.4826 0.3157  1 Li 2.81, 3 Ag 2.84-2.86
Br: 0.3182 0.8490 0.0000  2 Li 2.54-2.55, 2 Ag 2.78
Br: 0.8182 0.1510 0.0000  2 Li 2.54-2.55, 2 Ag 2.78

Total energy   -0.0995 hartree per atom
Energy relative to the elements, uncorrected   -0.643 eV per atom
Total moment   0.0 Bohr magnetons per cell
V   32.97 Å³ per atom

=====

> The lowest total energy belongs to which entry?

MnAgIBr2